No. 1
Computed, not measured: an optimized crystal structure of TbDy2IO8 at the PBE-GGA level of DFT.

It has space group Cmmm (No. 65), with a = 7.077 Å, b = 7.156 Å, c = 6.846 Å, α = 90.00°, β = 90.00° and γ = 90.00°. Symmetry generates all atoms from Tb at (0.000, 0.000, 0.000), Dy at (0.000, 0.500, 0.248), I at (0.000, 0.000, 0.500), O at (0.000, 0.181, 0.293), O at (0.190, 0.500, 0.000) and O at (0.232, 0.500, 0.500).

The total energy comes out at -0.5097 Ry/atom. Its volume is 14.45 Å³/atom. The value obtained for the uncorrected formation energy is -2.347 eV/atom.

***

No. 2
Computed, not measured: an optimized crystal structure of Tb2DyIO8 at the PBE-GGA level of DFT.

It has space group Cmmm (No. 65), with a = 7.085 Å, b = 7.188 Å, c = 6.849 Å, α = 90.00°, β = 90.00° and γ = 90.00°. Symmetry generates all atoms from Tb at (0.000, 0.000, 0.249), Dy at (0.000, 0.500, 0.000), I at (0.000, 0.500, 0.500), O at (0.000, 0.320, 0.292), O at (0.192, 0.000, 0.000) and O at (0.232, 0.000, 0.500).

The total energy comes out at -0.5094 Ry/atom. Its volume is 14.53 Å³/atom. The value obtained for the uncorrected formation energy is -2.341 eV/atom.

***

No. 3
Computed, not measured: an optimized crystal structure of DyTcIO4 at the PBE-GGA level of DFT.

It has space group C2/m (No. 12), with a = 11.208 Å, b = 7.036 Å, c = 6.889 Å, α = 90.00°, β = 103.89° and γ = 90.00°. Symmetry generates all atoms from Dy at (0.250, 0.000, 0.119), Tc at (0.129, 0.500, 0.276), I at (0.008, 0.000, 0.749), O at (0.033, 0.500, 0.793), O at (0.196, 0.317, 0.138) and O at (0.201, 0.500, 0.533).

The total energy comes out at -0.5200 Ry/atom. Its volume is 18.84 Å³/atom. The value obtained for the uncorrected formation energy is -1.882 eV/atom.

***

No. 4
Computed, not measured: an optimized crystal structure of DyTl2IO6 at the PBE-GGA level of DFT.

It has space group P-3m1 (No. 164), with a = 6.5385 Å, b = 6.5385 Å, c = 5.8925 Å, α = 90.00°, β = 90.00° and γ = 120.00°. Symmetry generates all atoms from Dy at (0.0000, 0.0000, 0.0000), Tl at (0.3333, 0.6667, 0.5691), I at (0.0000, 0.0000, 0.5000) and O at (0.1341, 0.2681, 0.3001).

The total energy comes out at -0.3844 Ry/atom. Its volume is 21.82 Å³/atom. The value obtained for the uncorrected formation energy is -1.167 eV/atom.

***

No. 5
Computed, not measured: an optimized crystal structure of Dy2Tl2IO6 at the PBE-GGA level of DFT.

It has space group C2/m (No. 12), with a = 6.019 Å, b = 10.753 Å, c = 6.773 Å, α = 90.00°, β = 106.23° and γ = 90.00°. Symmetry generates all atoms from Dy at (0.000, 0.167, 0.000), Tl at (0.000, 0.335, 0.500), I at (0.000, 0.500, 0.000), O at (0.220, 0.323, 0.172) and O at (0.234, 0.000, 0.149).

The total energy comes out at -0.4244 Ry/atom. Its volume is 19.13 Å³/atom. The value obtained for the uncorrected formation energy is -1.662 eV/atom.

***

No. 6
Computed, not measured: an optimized crystal structure of DyTl2IO8 at the PBE-GGA level of DFT.

It has space group P-1 (No. 2), with a = 5.089 Å, b = 5.103 Å, c = 6.788 Å, α = 92.02°, β = 92.09° and γ = 91.83°. Symmetry generates all atoms from Dy at (0.000, 0.000, 0.000), Tl at (0.479, 0.480, 0.750), I at (0.000, 0.000, 0.500), O at (0.170, 0.822, 0.291), O at (0.187, 0.838, 0.709), O at (0.270, 0.282, 0.496) and O at (0.303, 0.311, 0.017).

The total energy comes out at -0.3882 Ry/atom. Its volume is 14.66 Å³/atom. The value obtained for the uncorrected formation energy is -1.069 eV/atom.

***

No. 7
Computed, not measured: an optimized crystal structure of Dy2TmIO8 at the PBE-GGA level of DFT.

It has space group Cmmm (No. 65), with a = 7.030 Å, b = 7.164 Å, c = 6.777 Å, α = 90.00°, β = 90.00° and γ = 90.00°. Symmetry generates all atoms from Dy at (0.000, 0.000, 0.248), Tm at (0.000, 0.500, 0.000), I at (0.000, 0.500, 0.500), O at (0.000, 0.320, 0.290), O at (0.194, 0.000, 0.000) and O at (0.231, 0.000, 0.500).

The total energy comes out at -0.5100 Ry/atom. Its volume is 14.22 Å³/atom. The value obtained for the uncorrected formation energy is -2.365 eV/atom.